Computed, not measured: an optimized crystal structure of Pr2NbSi4Pt3 at the GGA-PBE level of DFT.

## Properties
- SG: P-4m2
- Electronic total energy: -69.3 eV/cell
- Total moment: 0.00 μB/cell
- D(E_F): 4.3 states/eV/f.u.

a b c (Å): 4.260 4.260 10.298
angles (deg): 90.00 90.00 90.00
Element x y z (fractional)
1 Pr 0.000 0.500 0.237
2 Pr 0.500 0.000 0.763
3 Nb 0.000 0.000 0.500
4 Si 0.000 0.000 0.000
5 Si 0.000 0.500 0.643
6 Si 0.500 0.000 0.357
7 Si 0.500 0.500 0.000
8 Pt 0.000 0.500 0.883
9 Pt 0.500 0.000 0.117
10 Pt 0.500 0.500 0.500